A relaxed structure of LuTaCoTc. Source: Alexandria, functional GGA-PBE.

The structure in extended XYZ format:
```
4
Lattice="4.534 0.000 0.000 2.267 3.926 0.000 2.267 1.309 3.702" Properties=species:S:1:pos:R:3 pbc="T T T"
Tc 2.267 1.309 0.925
Lu 4.534 2.618 1.851
Ta 0.000 0.000 0.000
Co 6.801 3.926 2.776
```

total DFT energy (no corrections): -34.7 eV per cell
energy relative to the elements: -84 kJ/mol of formula units


A relaxed structure of Hg2Sb2Te. Source: Alexandria, functional GGA-PBE.

The structure in extended XYZ format:
```
5
Lattice="4.305 0.000 0.000 0.000 4.305 0.000 2.152 2.152 7.910" Properties=species:S:1:pos:R:3 pbc="T T T"
Sb 2.152 2.152 1.434
Te 0.000 0.000 0.000
Hg 2.152 4.305 3.955
Sb 4.305 4.305 6.476
Hg 4.305 2.152 3.955
```

total DFT energy (no corrections): -11.0 eV per cell
uncorrected formation energy: 0.197 eV per atom
energy above the most stable polymorph in this dataset: 0.229 eV per formula unit